Entry 1:
Here is a relaxed PrEr2Tl crystal from Alexandria. Energies are from GGA-PBE.

abc: 4.853 4.745 11.155
angles: 102.35 90.00 90.00
Fractional positions:
Pr (0.250, 0.308, 0.616)
Pr (0.750, 0.692, 0.384)
Er (0.750, 0.444, 0.888)
Er (0.250, 0.556, 0.112)
Er (0.250, 0.937, 0.874)
Er (0.750, 0.063, 0.126)
Tl (0.750, 0.838, 0.679)
Tl (0.250, 0.162, 0.321)

Values from the calculation:
Total moment   0.000 μB per formula unit
Space group   P2_1/m (11)
Energy of formation from the pure elements   -0.17 eV/atom

***

Entry 2:
Here is a relaxed Pr4ErTl crystal from Alexandria. Energies are from GGA-PBE.

abc: 6.634 9.233 8.542
angles: 112.97 100.33 112.75
Fractional positions:
Pr (0.049, 0.172, 0.766)
Pr (0.759, 0.712, 0.619)
Pr (0.218, 0.595, 0.766)
Pr (0.360, 0.907, 0.619)
Pr (0.640, 0.093, 0.381)
Pr (0.782, 0.405, 0.234)
Pr (0.241, 0.288, 0.381)
Pr (0.951, 0.828, 0.234)
Er (0.340, 0.590, 0.180)
Er (0.660, 0.410, 0.820)
Tl (0.251, 0.001, 0.002)
Tl (0.749, 0.999, 0.998)

Values from the calculation:
Total moment   0.000 μB per formula unit
Space group   C2/c (15)
Energy of formation from the pure elements   -0.02 eV/atom

***

Entry 3:
Here is a relaxed Pr2ErTl3 crystal from Alexandria. Energies are from GGA-PBE.

abc: 3.792 6.775 14.751
angles: 90.00 97.38 90.00
Fractional positions:
Pr (0.155, 0.750, 0.311)
Pr (0.845, 0.250, 0.689)
Pr (0.994, 0.750, 0.989)
Pr (0.006, 0.250, 0.011)
Er (0.333, 0.750, 0.665)
Er (0.667, 0.250, 0.335)
Tl (0.422, 0.490, 0.843)
Tl (0.578, 0.510, 0.157)
Tl (0.422, 0.010, 0.843)
Tl (0.578, 0.990, 0.157)
Tl (0.748, 0.750, 0.496)
Tl (0.252, 0.250, 0.504)

Values from the calculation:
Total moment   0.000 μB per formula unit
Space group   Cmcm (63)
Energy of formation from the pure elements   -0.23 eV/atom

***

Entry 4:
Here is a relaxed Pr5ErTl4 crystal from Alexandria. Energies are from GGA-PBE.

abc: 9.040 7.688 10.497
angles: 90.00 90.00 90.00
Fractional positions:
Pr (0.283, 0.746, 0.803)
Pr (0.283, 0.254, 0.803)
Pr (0.775, 0.500, 0.000)
Pr (0.283, 0.746, 0.197)
Pr (0.283, 0.254, 0.197)
Pr (0.717, 0.754, 0.303)
Pr (0.717, 0.246, 0.303)
Pr (0.225, 0.000, 0.500)
Pr (0.717, 0.246, 0.697)
Pr (0.717, 0.754, 0.697)
Er (0.861, 0.000, 0.000)
Er (0.139, 0.500, 0.500)
Tl (0.002, 0.000, 0.733)
Tl (0.549, 0.804, 0.000)
Tl (0.549, 0.196, 0.000)
Tl (0.002, 0.000, 0.267)
Tl (0.998, 0.500, 0.233)
Tl (0.451, 0.696, 0.500)
Tl (0.451, 0.304, 0.500)
Tl (0.998, 0.500, 0.767)

Values from the calculation:
Total moment   0.001 μB per formula unit
Space group   Pmmn (59)
Energy of formation from the pure elements   -0.01 eV/atom

***

Entry 5:
Here is a relaxed PrEr5Tl2 crystal from Alexandria. Energies are from GGA-PBE.

abc: 3.657 8.397 8.397
angles: 76.18 77.42 77.42
Fractional positions:
Pr (0.000, 0.000, 0.000)
Er (0.000, 0.500, 0.500)
Er (0.634, 0.592, 0.139)
Er (0.366, 0.408, 0.861)
Er (0.366, 0.861, 0.408)
Er (0.634, 0.139, 0.592)
Tl (0.742, 0.758, 0.758)
Tl (0.258, 0.242, 0.242)

Values from the calculation:
Total moment   0.075 μB per formula unit
Space group   Immm (71)
Energy of formation from the pure elements   -0.13 eV/atom

***

Entry 6:
Here is a relaxed Pr2Er2Tl crystal from Alexandria. Energies are from GGA-PBE.

abc: 5.181 6.852 9.005
angles: 90.00 106.72 90.00
Fractional positions:
Pr (0.004, 0.823, 0.007)
Pr (0.801, 0.322, 0.601)
Pr (0.199, 0.822, 0.399)
Pr (0.996, 0.323, 0.993)
Er (0.390, 0.577, 0.780)
Er (0.808, 0.839, 0.617)
Er (0.192, 0.339, 0.383)
Er (0.610, 0.077, 0.220)
Tl (0.398, 0.073, 0.796)
Tl (0.602, 0.573, 0.204)

Values from the calculation:
Total moment   0.000 μB per formula unit
Space group   Cmc2_1 (36)
Energy of formation from the pure elements   -0.08 eV/atom

***

Entry 7:
Here is a relaxed PrEr2Tl crystal from Alexandria. Energies are from GGA-PBE.

abc: 4.654 6.696 8.669
angles: 90.00 90.00 110.33
Fractional positions:
Pr (0.943, 0.886, 0.250)
Pr (0.057, 0.114, 0.750)
Er (0.364, 0.728, 0.551)
Er (0.636, 0.272, 0.449)
Er (0.364, 0.728, 0.949)
Er (0.636, 0.272, 0.051)
Tl (0.768, 0.537, 0.750)
Tl (0.232, 0.463, 0.250)

Values from the calculation:
Total moment   0.000 μB per formula unit
Space group   Cmcm (63)
Energy of formation from the pure elements   -0.11 eV/atom

***

Entry 8:
Here is a relaxed Pr3Er6Tl crystal from Alexandria. Energies are from GGA-PBE.

abc: 3.575 12.998 16.060
angles: 121.30 90.00 90.00
Fractional positions:
Pr (0.750, 0.385, 0.895)
Pr (0.250, 0.615, 0.105)
Pr (0.750, 0.625, 0.502)
Pr (0.250, 0.375, 0.498)
Pr (0.750, 0.127, 0.093)
Pr (0.250, 0.873, 0.907)
Er (0.750, 0.592, 0.710)
Er (0.250, 0.408, 0.290)
Er (0.750, 0.856, 0.105)
Er (0.250, 0.144, 0.895)
Er (0.750, 0.384, 0.100)
Er (0.250, 0.616, 0.900)
Er (0.750, 0.666, 0.312)
Er (0.250, 0.334, 0.688)
Er (0.750, 0.114, 0.477)
Er (0.250, 0.886, 0.523)
Er (0.750, 0.891, 0.719)
Er (0.250, 0.109, 0.281)
Tl (0.750, 0.115, 0.691)
Tl (0.250, 0.885, 0.309)

Values from the calculation:
Total moment   0.000 μB per formula unit
Space group   P2_1/m (11)
Energy of formation from the pure elements   0.00 eV/atom

***

Entry 9:
Here is a relaxed PrEr3Tl3 crystal from Alexandria. Energies are from GGA-PBE.

abc: 5.233 9.458 9.458
angles: 120.00 90.00 90.00
Fractional positions:
Pr (0.250, 0.667, 0.333)
Pr (0.750, 0.333, 0.667)
Er (0.250, 0.771, 0.771)
Er (0.250, 0.229, 0.000)
Er (0.250, 0.000, 0.229)
Er (0.750, 0.229, 0.229)
Er (0.750, 0.771, 0.000)
Er (0.750, 0.000, 0.771)
Tl (0.750, 0.624, 0.553)
Tl (0.750, 0.447, 0.071)
Tl (0.750, 0.929, 0.376)
Tl (0.250, 0.376, 0.447)
Tl (0.250, 0.553, 0.929)
Tl (0.250, 0.071, 0.624)

Values from the calculation:
Total moment   0.000 μB per formula unit
Space group   P6_3/m (176)
Energy of formation from the pure elements   -0.25 eV/atom

***

Entry 10:
Here is a relaxed Pr12Er3Tl crystal from Alexandria. Energies are from GGA-PBE.

abc: 5.124 5.124 20.770
angles: 90.00 90.00 90.00
Fractional positions:
Pr (0.500, 0.500, 0.000)
Pr (0.500, 0.500, 0.248)
Pr (0.500, 0.500, 0.500)
Pr (0.500, 0.500, 0.752)
Pr (0.500, 0.000, 0.122)
Pr (0.500, 0.000, 0.374)
Pr (0.500, 0.000, 0.626)
Pr (0.500, 0.000, 0.878)
Pr (0.000, 0.500, 0.122)
Pr (0.000, 0.500, 0.374)
Pr (0.000, 0.500, 0.626)
Pr (0.000, 0.500, 0.878)
Er (0.000, 0.000, 0.249)
Er (0.000, 0.000, 0.500)
Er (0.000, 0.000, 0.751)
Tl (0.000, 0.000, 0.000)

Values from the calculation:
Total moment   0.000 μB per formula unit
Space group   P4/mmm (123)
Energy of formation from the pure elements   -0.04 eV/atom

***

Entry 11:
Here is a relaxed Pr6Er5Tl crystal from Alexandria. Energies are from GGA-PBE.

abc: 5.107 9.518 9.518
angles: 108.07 105.54 105.54
Fractional positions:
Pr (0.246, 0.079, 0.413)
Pr (0.754, 0.587, 0.921)
Pr (0.746, 0.246, 0.246)
Pr (0.254, 0.754, 0.754)
Pr (0.246, 0.413, 0.079)
Pr (0.754, 0.921, 0.587)
Tl (0.000, 0.000, 0.000)
Er (0.500, 0.169, 0.831)
Er (0.000, 0.336, 0.664)
Er (0.500, 0.500, 0.500)
Er (0.000, 0.664, 0.336)
Er (0.500, 0.831, 0.169)

Values from the calculation:
Total moment   0.000 μB per formula unit
Space group   Immm (71)
Energy of formation from the pure elements   -0.03 eV/atom

***

Entry 12:
Here is a relaxed Pr5Er6Tl crystal from Alexandria. Energies are from GGA-PBE.

abc: 5.044 9.431 9.431
angles: 106.54 105.50 105.50
Fractional positions:
Pr (0.500, 0.168, 0.832)
Pr (0.000, 0.336, 0.664)
Pr (0.500, 0.500, 0.500)
Pr (0.000, 0.664, 0.336)
Pr (0.500, 0.832, 0.168)
Tl (0.000, 0.000, 0.000)
Er (0.246, 0.081, 0.410)
Er (0.754, 0.590, 0.919)
Er (0.745, 0.245, 0.245)
Er (0.255, 0.755, 0.755)
Er (0.246, 0.410, 0.081)
Er (0.754, 0.919, 0.590)

Values from the calculation:
Total moment   0.000 μB per formula unit
Space group   Immm (71)
Energy of formation from the pure elements   -0.02 eV/atom

***

Entry 13:
Here is a relaxed Pr5Er4Tl crystal from Alexandria. Energies are from GGA-PBE.

abc: 4.199 4.199 18.546
angles: 90.00 90.00 90.00
Fractional positions:
Pr (0.500, 0.500, 0.092)
Pr (0.500, 0.500, 0.295)
Pr (0.500, 0.500, 0.500)
Pr (0.500, 0.500, 0.705)
Pr (0.500, 0.500, 0.908)
Er (0.000, 0.000, 0.195)
Er (0.000, 0.000, 0.398)
Er (0.000, 0.000, 0.602)
Er (0.000, 0.000, 0.805)
Tl (0.000, 0.000, 0.000)

Values from the calculation:
Total moment   0.001 μB per formula unit
Space group   P4/mmm (123)
Energy of formation from the pure elements   0.00 eV/atom

***

Entry 14:
Here is a relaxed PrEr2Tl crystal from Alexandria. Energies are from GGA-PBE.

abc: 3.504 3.504 12.097
angles: 81.67 81.67 60.00
Fractional positions:
Pr (0.000, 0.000, 0.000)
Tl (0.500, 0.500, 0.500)
Er (0.096, 0.096, 0.712)
Er (0.904, 0.904, 0.288)

Values from the calculation:
Total moment   0.001 μB per formula unit
Space group   R-3m (166)
Energy of formation from the pure elements   0.10 eV/atom

***

Entry 15:
Here is a relaxed Pr4Er2Tl crystal from Alexandria. Energies are from GGA-PBE.

abc: 3.590 8.775 8.573
angles: 116.54 102.09 90.00
Fractional positions:
Pr (0.917, 0.292, 0.833)
Pr (0.083, 0.708, 0.167)
Pr (0.638, 0.405, 0.276)
Pr (0.362, 0.595, 0.724)
Er (0.785, 0.862, 0.570)
Er (0.215, 0.138, 0.430)
Tl (0.000, 0.000, 0.000)

Values from the calculation:
Total moment   0.000 μB per formula unit
Space group   C2/m (12)
Energy of formation from the pure elements   -0.01 eV/atom

***

Entry 16:
Here is a relaxed Pr5Er12Tl2 crystal from Alexandria. Energies are from GGA-PBE.

abc: 9.355 12.097 8.365
angles: 131.75 90.00 112.75
Fractional positions:
Pr (0.305, 0.610, 0.619)
Pr (0.235, 0.469, 0.891)
Pr (0.000, 0.000, 0.500)
Pr (0.765, 0.531, 0.109)
Pr (0.695, 0.390, 0.381)
Er (0.079, 0.158, 0.277)
Er (0.038, 0.710, 0.947)
Er (0.672, 0.710, 0.947)
Er (0.181, 0.747, 0.413)
Er (0.566, 0.747, 0.413)
Er (0.552, 0.105, 0.781)
Er (0.448, 0.895, 0.219)
Er (0.819, 0.253, 0.587)
Er (0.434, 0.253, 0.587)
Er (0.962, 0.290, 0.053)
Er (0.328, 0.290, 0.053)
Er (0.921, 0.842, 0.723)
Tl (0.685, 0.000, 0.000)
Tl (0.315, 0.000, 0.000)

Values from the calculation:
Total moment   0.000 μB per formula unit
Space group   C2/m (12)
Energy of formation from the pure elements   0.01 eV/atom

***

Entry 17:
Here is a relaxed PrEr3Tl2 crystal from Alexandria. Energies are from GGA-PBE.

abc: 5.122 6.821 10.029
angles: 90.00 90.00 90.00
Fractional positions:
Pr (0.500, 0.551, 0.543)
Pr (0.500, 0.051, 0.457)
Er (0.000, 0.456, 0.956)
Er (0.000, 0.956, 0.044)
Er (0.500, 0.668, 0.181)
Er (0.500, 0.168, 0.819)
Er (0.000, 0.329, 0.305)
Er (0.000, 0.829, 0.695)
Tl (0.500, 0.709, 0.869)
Tl (0.500, 0.209, 0.131)
Tl (0.000, 0.286, 0.640)
Tl (0.000, 0.786, 0.360)

Values from the calculation:
Total moment   0.000 μB per formula unit
Space group   Pmc2_1 (26)
Energy of formation from the pure elements   -0.26 eV/atom

***

Entry 18:
Here is a relaxed Pr5Er4Tl4 crystal from Alexandria. Energies are from GGA-PBE.

abc: 5.027 9.372 9.372
angles: 85.88 74.44 74.44
Fractional positions:
Pr (0.695, 0.913, 0.696)
Pr (0.305, 0.087, 0.304)
Pr (0.000, 0.000, 0.000)
Pr (0.608, 0.696, 0.087)
Pr (0.392, 0.304, 0.913)
Er (0.906, 0.497, 0.691)
Er (0.597, 0.309, 0.497)
Er (0.094, 0.503, 0.309)
Er (0.403, 0.691, 0.503)
Tl (0.759, 0.331, 0.150)
Tl (0.241, 0.669, 0.850)
Tl (0.909, 0.850, 0.331)
Tl (0.091, 0.150, 0.669)

Values from the calculation:
Total moment   0.001 μB per formula unit
Space group   I4/m (87)
Energy of formation from the pure elements   -0.25 eV/atom

***

Entry 19:
Here is a relaxed Pr7ErTl2 crystal from Alexandria. Energies are from GGA-PBE.

abc: 5.388 9.439 9.439
angles: 119.88 90.00 90.00
Fractional positions:
Pr (0.000, 0.778, 0.222)
Pr (0.000, 0.222, 0.778)
Pr (0.500, 0.063, 0.300)
Pr (0.500, 0.937, 0.700)
Pr (0.500, 0.300, 0.063)
Pr (0.500, 0.700, 0.937)
Pr (0.500, 0.500, 0.500)
Er (0.000, 0.000, 0.000)
Tl (0.500, 0.693, 0.307)
Tl (0.500, 0.307, 0.693)

Values from the calculation:
Total moment   0.000 μB per formula unit
Space group   Cmmm (65)
Energy of formation from the pure elements   0.32 eV/atom

***

Entry 20:
Here is a relaxed Pr8ErTl2 crystal from Alexandria. Energies are from GGA-PBE.

abc: 6.275 10.193 10.193
angles: 39.53 65.32 65.32
Fractional positions:
Pr (0.222, 0.086, 0.565)
Pr (0.222, 0.565, 0.086)
Pr (0.778, 0.914, 0.435)
Pr (0.269, 0.491, 0.491)
Pr (0.778, 0.435, 0.914)
Pr (0.335, 0.124, 0.124)
Pr (0.665, 0.876, 0.876)
Pr (0.731, 0.509, 0.509)
Er (0.000, 0.000, 0.000)
Tl (0.748, 0.323, 0.323)
Tl (0.252, 0.677, 0.677)

Values from the calculation:
Total moment   0.009 μB per formula unit
Space group   C2/m (12)
Energy of formation from the pure elements   -0.05 eV/atom